Entry 1:
## Sc2HgPd4 (PBE-GGA)

Data for crystalline Sc2HgPd4 at its relaxed geometry.

Computed properties:
ΔE_f in eV/atom: 0.124
DOS at the Fermi energy in states/eV per cell: 4.31
Space-group type: No. 139
Calculated volume in Å³/atom: 23.6
Relative energy among the computed polymorphs in eV per atom: 0.731

Cell: 4.977 4.977 7.534 Å, 70.71 70.71 90.00°
Fractional coordinates of all 7 atoms:
Pd: 0.500 0.000 0.000
Pd: 0.205 0.205 0.589
Sc: 0.618 0.618 0.765
Hg: 0.000 0.000 0.000
Pd: 0.795 0.795 0.411
Pd: 0.000 0.500 0.000
Sc: 0.382 0.382 0.235

Entry 2:
## YTlSb2 (PBE-GGA)

Data for crystalline YTlSb2 at its relaxed geometry.

Computed properties:
ΔE_f (raw) in eV/atom: -0.29
DOS at the Fermi energy in states/eV per cell: 3.35
Space-group type: No. 225
Calculated volume in Å³/atom: 28.8
Relative energy among the computed polymorphs in eV per atom: 0.205

Cell: 5.462 5.462 5.462 Å, 60.00 60.00 60.00°
Fractional coordinates of all 4 atoms:
Sb: 0.750 0.750 0.750
Tl: 0.500 0.500 0.500
Sb: 0.250 0.250 0.250
Y: 0.000 0.000 0.000

Entry 3:
## TaZn2Ag (PBE-GGA)

Data for crystalline TaZn2Ag at its relaxed geometry.

Computed properties:
ΔE_f in eV/atom: 0.085
DOS at the Fermi energy in states/eV per cell: 3.69
Space-group type: No. 166
Calculated volume in Å³/atom: 16.6
Relative energy among the computed polymorphs in eV per atom: 0.099

Cell: 9.442 9.442 9.442 Å, 17.49 17.49 17.49°
Fractional coordinates of all 4 atoms:
Ta: 0.250 0.250 0.250
Ag: 0.750 0.750 0.750
Zn: 0.499 0.499 0.499
Zn: 0.001 0.001 0.001